[1]
DFT (PBE) results for a relaxed structure of Nb2VRh. Values from VASP.

## Properties
Calculated formation energy   -22.9 kJ/mol of atoms
ΔE to the lowest computed polymorph   0.0 meV/atom
Space-group type   P4/mmm, No. 123

Cell and atoms, written as Quantum ESPRESSO input:
```
&SYSTEM
  ibrav = 0, nat = 4, ntyp = 3
/
ATOMIC_SPECIES
Nb 92.91 Nb.upf
Rh 102.91 Rh.upf
V 50.94 V.upf
ATOMIC_POSITIONS crystal
Nb 0.000 0.000 0.760
Nb 0.000 0.000 0.240
Rh 0.500 0.500 0.500
V 0.500 0.500 0.000
CELL_PARAMETERS angstrom
-0.829 -2.885 -1.043
2.823 -1.140 0.908
-2.396 -1.379 5.719
```


[2]
DFT (PBE) results for a relaxed structure of Tb2NdDy4Er. Values from VASP.

## Properties
Calculated formation energy   1.4 kJ/mol of atoms
Space-group type   Pmmm, No. 47

Cell and atoms, written as Quantum ESPRESSO input:
```
&SYSTEM
  ibrav = 0, nat = 16, ntyp = 4
/
ATOMIC_SPECIES
Tb 158.93 Tb.upf
Nd 144.24 Nd.upf
Dy 162.50 Dy.upf
Er 167.26 Er.upf
ATOMIC_POSITIONS crystal
Tb 0.500 0.000 0.000
Tb 0.500 0.000 0.500
Tb 0.000 0.000 0.500
Tb 0.500 0.500 0.000
Nd 0.000 0.500 0.000
Nd 0.000 0.500 0.500
Dy 0.250 0.751 0.001
Dy 0.747 0.248 0.498
Dy 0.253 0.752 0.502
Dy 0.750 0.249 0.999
Dy 0.752 0.751 0.001
Dy 0.751 0.751 0.502
Dy 0.249 0.249 0.498
Dy 0.248 0.249 0.999
Er 0.500 0.500 0.500
Er 0.000 0.000 0.000
CELL_PARAMETERS angstrom
0.949 -6.450 -7.634
2.616 -7.269 6.469
-7.094 8.778 4.898
```


[3]
DFT (PBE) results for a relaxed structure of NbTlAg. Values from VASP.

## Properties
Calculated formation energy   30.8 kJ/mol of atoms
ΔE to the lowest computed polymorph   108.3 meV/atom
Space-group type   P-1, No. 2

Cell and atoms, written as Quantum ESPRESSO input:
```
&SYSTEM
  ibrav = 0, nat = 6, ntyp = 3
/
ATOMIC_SPECIES
Nb 92.91 Nb.upf
Tl 204.38 Tl.upf
Ag 107.87 Ag.upf
ATOMIC_POSITIONS crystal
Nb 0.929 0.270 0.523
Nb 0.071 0.730 0.477
Tl 0.451 0.102 0.195
Tl 0.549 0.898 0.805
Ag 0.299 0.422 0.840
Ag 0.701 0.578 0.160
CELL_PARAMETERS angstrom
-1.526 -2.036 -1.683
3.039 -4.626 0.207
-3.268 -3.094 6.113
```


[4]
DFT (PBE) results for a relaxed structure of NaCuAg2Br4. Values from VASP.

## Properties
Raw formation energy   -607 meV/atom
Space-group type   Pmn2_1, No. 31

Cell and atoms, written as Quantum ESPRESSO input:
```
&SYSTEM
  ibrav = 0, nat = 16, ntyp = 4
/
ATOMIC_SPECIES
Na 22.99 Na.upf
Cu 63.55 Cu.upf
Ag 107.87 Ag.upf
Br 79.90 Br.upf
ATOMIC_POSITIONS crystal
Na 0.998 0.159 0.500
Na 0.498 0.841 0.000
Cu 0.499 0.829 0.500
Cu 0.999 0.171 0.000
Ag 0.499 0.333 0.252
Ag 0.499 0.333 0.748
Ag 0.999 0.667 0.752
Ag 0.999 0.667 0.248
Br 0.344 0.189 0.000
Br 0.844 0.811 0.500
Br 0.401 0.141 0.500
Br 0.901 0.859 0.000
Br 0.380 0.674 0.725
Br 0.880 0.326 0.225
Br 0.880 0.326 0.775
Br 0.380 0.674 0.275
CELL_PARAMETERS angstrom
7.176 0.000 0.000
0.000 7.592 0.000
0.000 0.000 8.907
```


[5]
DFT (PBE) results for a relaxed structure of NaEr2Pa. Values from VASP.

## Properties
Calculated formation energy   19.7 kJ/mol of atoms
Space-group type   R-3m, No. 166

Cell and atoms, written as Quantum ESPRESSO input:
```
&SYSTEM
  ibrav = 0, nat = 4, ntyp = 3
/
ATOMIC_SPECIES
Na 22.99 Na.upf
Pa 231.04 Pa.upf
Er 167.26 Er.upf
ATOMIC_POSITIONS crystal
Na 0.000 0.000 0.000
Pa 0.500 0.500 0.500
Er 0.094 0.094 0.719
Er 0.906 0.906 0.281
CELL_PARAMETERS angstrom
-0.822 1.085 3.106
-3.211 0.830 0.712
-3.563 -10.903 4.718
```


[6]
DFT (PBE) results for a relaxed structure of LiMgRh2. Values from VASP.

## Properties
Calculated formation energy   -24.4 kJ/mol of atoms
Space-group type   Immm, No. 71

Cell and atoms, written as Quantum ESPRESSO input:
```
&SYSTEM
  ibrav = 0, nat = 4, ntyp = 3
/
ATOMIC_SPECIES
Mg 24.30 Mg.upf
Rh 102.91 Rh.upf
Li 6.94 Li.upf
ATOMIC_POSITIONS crystal
Mg 0.250 0.750 0.500
Rh 0.993 0.993 0.000
Rh 0.507 0.507 0.000
Li 0.750 0.250 0.500
CELL_PARAMETERS angstrom
5.037 -0.001 0.000
2.083 4.586 0.000
-2.936 -3.263 2.472
```


[7]
DFT (PBE) results for a relaxed structure of TmGePt4. Values from VASP.

## Properties
Calculated formation energy   -63.9 kJ/mol of atoms
Space-group type   P-1, No. 2

Cell and atoms, written as Quantum ESPRESSO input:
```
&SYSTEM
  ibrav = 0, nat = 12, ntyp = 3
/
ATOMIC_SPECIES
Tm 168.93 Tm.upf
Ge 72.64 Ge.upf
Pt 195.08 Pt.upf
ATOMIC_POSITIONS crystal
Tm 0.879 0.746 0.962
Tm 0.121 0.254 0.038
Ge 0.500 0.000 0.500
Ge 0.000 0.500 0.500
Pt 0.571 0.133 0.868
Pt 0.636 0.435 0.184
Pt 0.429 0.867 0.132
Pt 0.364 0.565 0.816
Pt 0.065 0.953 0.707
Pt 0.312 0.679 0.414
Pt 0.935 0.047 0.293
Pt 0.688 0.321 0.586
CELL_PARAMETERS angstrom
0.010 1.493 4.752
2.287 -5.642 3.512
6.040 1.397 -3.080
```


[8]
DFT (PBE) results for a relaxed structure of LaTcRu2. Values from VASP.

## Properties
Calculated formation energy   13.0 kJ/mol of atoms
ΔE to the lowest computed polymorph   0.0 meV/atom
Space-group type   R-3m, No. 166

Cell and atoms, written as Quantum ESPRESSO input:
```
&SYSTEM
  ibrav = 0, nat = 4, ntyp = 3
/
ATOMIC_SPECIES
La 138.91 La.upf
Ru 101.07 Ru.upf
Tc 98.00 Tc.upf
ATOMIC_POSITIONS crystal
La 0.750 0.750 0.750
Ru 0.941 0.941 0.176
Ru 0.559 0.559 0.324
Tc 0.250 0.250 0.250
CELL_PARAMETERS angstrom
-1.645 4.060 -0.174
-3.037 1.006 -2.997
-5.311 0.314 2.279
```